# Rb3Y3MnTe8

An optimized crystal structure of Rb3Y3MnTe8 (PBE, the Alexandria database).

Cell: 8.768 8.772 10.133 Å, 115.67 90.00 120.00°
Positions (direct):
Rb 0.000 0.000 0.000
Rb 0.000 0.500 0.000
Rb 0.500 0.500 0.000
Y 0.500 0.000 0.500
Y 0.500 0.500 0.500
Y 0.000 0.500 0.500
Mn 0.000 0.000 0.500
Te 0.266 0.532 0.299
Te 0.734 0.468 0.701
Te 0.786 0.573 0.316
Te 0.214 0.427 0.684
Te 0.786 0.030 0.316
Te 0.214 0.970 0.684
Te 0.243 0.029 0.316
Te 0.757 0.971 0.684

ΔE_f (raw), eV/atom: -1.09
DOS at the Fermi energy, states/eV/f.u.: 2.62


# Ce2ZrSb3Rh4

An optimized crystal structure of Ce2ZrSb3Rh4 (PBE, the Alexandria database).

Cell: 4.345 4.345 11.334 Å, 90.00 90.00 90.00°
Positions (direct):
Ce 0.500 0.000 0.238
Ce 0.000 0.500 0.762
Zr 0.500 0.500 0.500
Sb 0.000 0.000 0.500
Sb 0.500 0.000 0.866
Sb 0.000 0.500 0.134
Rh 0.500 0.500 0.000
Rh 0.000 0.000 0.000
Rh 0.500 0.000 0.639
Rh 0.000 0.500 0.361

ΔE_f (raw), eV/atom: -0.82
DOS at the Fermi energy, states/eV/f.u.: 15.85


# PuIrO6

An optimized crystal structure of PuIrO6 (PBE, the Alexandria database).

Cell: 6.182 5.485 5.485 Å, 54.68 73.63 106.37°
Positions (direct):
Pu 0.500 0.021 0.021
Ir 0.000 0.021 0.021
O 0.762 0.549 0.493
O 0.238 0.493 0.549
O 0.248 0.150 0.153
O 0.248 0.889 0.892
O 0.752 0.892 0.889
O 0.752 0.153 0.150

ΔE_f (raw), eV/atom: -1.43
DOS at the Fermi energy, states/eV/f.u.: 5.43


# CeSnAu2

An optimized crystal structure of CeSnAu2 (PBE, the Alexandria database).

Cell: 5.052 5.052 5.052 Å, 60.00 60.00 60.00°
Positions (direct):
Au 0.750 0.750 0.750
Au 0.250 0.250 0.250
Sn 0.000 0.000 0.000
Ce 0.500 0.500 0.500

Final energy, eV/atom: -4.78
DOS at the Fermi energy, states/eV/f.u.: 5.16


# Ac2LaPrY

An optimized crystal structure of Ac2LaPrY (PBE, the Alexandria database).

Cell: 6.605 9.414 6.517 Å, 90.24 90.00 90.00°
Positions (direct):
Ac 0.212 0.693 0.751
Ac 0.212 0.307 0.749
Ac 0.788 0.693 0.251
Ac 0.788 0.307 0.249
La 0.442 0.000 0.250
La 0.558 0.000 0.750
Pr 0.000 0.000 0.000
Pr 0.000 0.000 0.500
Y 0.679 0.500 0.750
Y 0.321 0.500 0.250

Final energy, eV/atom: -4.62
DOS at the Fermi energy, states/eV/f.u.: 5.95


# ZrTi2AuN

An optimized crystal structure of ZrTi2AuN (PBE, the Alexandria database).

Cell: 4.157 4.157 4.481 Å, 90.00 90.00 90.00°
Positions (direct):
N 0.000 0.000 0.000
Au 0.500 0.500 0.500
Zr 0.000 0.000 0.500
Ti 0.000 0.500 0.000
Ti 0.500 0.000 0.000

ΔE_f (raw), eV/atom: -0.99
DOS at the Fermi energy, states/eV/f.u.: 3.65